one:
Density functional theory data (PBE-GGA) for a geometry-optimized LaTlIN2 structure.

Cell lengths 4.5472, 4.5472, 6.7956 Å; angles 90.00, 90.00, 90.00 degrees
Closest atoms and distances in Å follow each position.
Space group P4/mmm (No. 123)
One atom of each set of equivalent atoms:
La 0.0000 0.0000 0.0000  4 N 2.27
Tl 0.5000 0.5000 0.5000  4 I 3.22
I 0.0000 0.0000 0.5000  4 Tl 3.22, 2 La 3.40
N 0.0000 0.5000 0.0000  2 La 2.27

* volume: 140.5 Å³/f.u.
* crystal system: tetragonal

two:
Density functional theory data (PBE-GGA) for a geometry-optimized LaTlIN2 structure.

Cell lengths 4.5154, 4.5154, 5.8031 Å; angles 90.00, 90.00, 90.00 degrees
Closest atoms and distances in Å follow each position.
Space group P4/mmm (No. 123)
One atom of each set of equivalent atoms:
La 0.0000 0.0000 0.0000  4 I 3.19
Tl 0.5000 0.5000 0.5000  4 N 2.26
I 0.5000 0.5000 0.0000  2 Tl 2.90, 4 La 3.19
N 0.0000 0.5000 0.5000  2 Tl 2.26

* volume: 118.3 Å³/f.u.
* crystal system: tetragonal

Stability, highest: one

one:
Density functional theory data (PBE-GGA) for a geometry-optimized LaVIN2 structure.

Cell lengths 4.1679, 4.1679, 5.1505 Å; angles 90.00, 90.00, 90.00 degrees
Closest atoms and distances in Å follow each position.
Space group P4/mmm (No. 123)
One atom of each set of equivalent atoms:
La 0.0000 0.0000 0.0000  4 I 2.95
V 0.5000 0.5000 0.5000  4 N 2.08
I 0.5000 0.5000 0.0000  2 V 2.58
N 0.0000 0.5000 0.5000  2 V 2.08

* volume: 89.5 Å³/f.u.
* crystal system: tetragonal

two:
Density functional theory data (PBE-GGA) for a geometry-optimized LaVIN2 structure.

Cell lengths 4.3406, 4.3406, 6.5792 Å; angles 90.00, 90.00, 90.00 degrees
Closest atoms and distances in Å follow each position.
Space group P4/mmm (No. 123)
One atom of each set of equivalent atoms:
La 0.0000 0.0000 0.0000  4 N 2.17
V 0.5000 0.5000 0.5000  4 I 3.07
I 0.0000 0.0000 0.5000  4 V 3.07, 2 La 3.29
N 0.0000 0.5000 0.0000  2 La 2.17

* volume: 124.0 Å³/f.u.
* crystal system: tetragonal

Stability, highest: one

one:
Density functional theory data (PBE-GGA) for a geometry-optimized LaWIN2 structure.

Cell lengths 4.1790, 4.1790, 5.4104 Å; angles 90.00, 90.00, 90.00 degrees
Closest atoms and distances in Å follow each position.
Space group P4/mmm (No. 123)
One atom of each set of equivalent atoms:
La 0.0000 0.0000 0.0000  4 I 2.95
W 0.5000 0.5000 0.5000  4 N 2.09
I 0.5000 0.5000 0.0000  2 W 2.71, 4 La 2.95
N 0.0000 0.5000 0.5000  2 W 2.09

* volume: 94.5 Å³/f.u.
* crystal system: tetragonal

two:
Density functional theory data (PBE-GGA) for a geometry-optimized LaWIN2 structure.

Cell lengths 4.3375, 4.3375, 6.7558 Å; angles 90.00, 90.00, 90.00 degrees
Closest atoms and distances in Å follow each position.
Space group P4/mmm (No. 123)
One atom of each set of equivalent atoms:
La 0.0000 0.0000 0.0000  4 N 2.17
W 0.5000 0.5000 0.5000  4 I 3.07
I 0.0000 0.0000 0.5000  4 W 3.07, 2 La 3.38
N 0.0000 0.5000 0.0000  2 La 2.17

* volume: 127.1 Å³/f.u.
* crystal system: tetragonal

Stability, highest: one